YTlCdTe3 | PBE-GGA | optimized geometry Values from VASP.

```
&SYSTEM
  ibrav = 0, nat = 24, ntyp = 4
/
ATOMIC_SPECIES
Y 88.91 Y.upf
Tl 204.38 Tl.upf
Cd 112.41 Cd.upf
Te 127.60 Te.upf
CELL_PARAMETERS angstrom
15.4840 0.0000 0.0000
0.0000 4.4759 0.0000
0.0000 0.0000 11.9544
ATOMIC_POSITIONS angstrom
Y 0.3877 1.1190 1.8497
Y 7.3543 3.3569 7.8269
Y 8.1298 1.1190 4.1275
Y 15.0963 3.3569 10.1047
Tl 3.6945 1.1190 5.3945
Tl 4.0475 3.3569 11.3716
Tl 11.4366 1.1190 0.5827
Tl 11.7895 3.3569 6.5599
Cd 0.2980 3.3569 4.7777
Cd 7.4440 1.1190 10.7549
Cd 8.0400 3.3569 1.1995
Cd 15.1860 1.1190 7.1767
Te 1.5048 3.3569 7.4766
Te 1.5611 1.1190 10.9995
Te 2.3401 3.3569 2.8213
Te 5.4019 1.1190 8.7985
Te 6.1810 3.3569 5.0223
Te 6.2372 1.1190 1.4994
Te 9.2468 3.3569 10.4550
Te 9.3031 1.1190 6.9321
Te 10.0821 3.3569 3.1559
Te 13.1439 1.1190 9.1331
Te 13.9230 3.3569 0.9549
Te 13.9792 1.1190 4.4778
```

VASP energy = -4.014 eV/atom
space group = Pnma (62)
magnetic moment = 0.000 μB/atom